No. 1
The following is a DFT calculation (PBE) of an optimized crystal structure of Ca2AuCSe.

```
data_Ca2AuCSe
_cell_length_a 5.658
_cell_length_b 5.658
_cell_length_c 4.983
_cell_angle_alpha 90.00
_cell_angle_beta 90.00
_cell_angle_gamma 90.00
_space_group_name_H-M_alt 'P 4/m m m'
_space_group_IT_number 123
_space_group_name_Hall '-P 4 2'
loop_
_atom_site_label
_atom_site_type_symbol
_atom_site_fract_x
_atom_site_fract_y
_atom_site_fract_z
Ca1 Ca 0.000 0.500 0.000
Au1 Au 0.000 0.000 0.000
C1 C 0.500 0.500 0.500
Se1 Se 0.000 0.000 0.500
```

Summary:
Density: 3832 kg/m³
E_form (uncorrected): 4.06 eV/f.u.

No. 2
The following is a DFT calculation (PBE) of an optimized crystal structure of CaTe2AuC.

```
data_CaTe2AuC
_cell_length_a 5.312
_cell_length_b 5.312
_cell_length_c 4.119
_cell_angle_alpha 90.00
_cell_angle_beta 90.00
_cell_angle_gamma 90.00
_space_group_name_H-M_alt 'P 4/m m m'
_space_group_IT_number 123
_space_group_name_Hall '-P 4 2'
loop_
_atom_site_label
_atom_site_type_symbol
_atom_site_fract_x
_atom_site_fract_y
_atom_site_fract_z
Ca1 Ca 0.000 0.000 0.000
Te1 Te 0.000 0.500 0.500
Au1 Au 0.500 0.500 0.000
C1 C 0.500 0.500 0.500
```

Summary:
Density: 7204 kg/m³
E_form (uncorrected): 1.24 eV/f.u.

No. 3
The following is a DFT calculation (PBE) of an optimized crystal structure of CdAu2C.

```
data_CdAu2C
_cell_length_a 5.294
_cell_length_b 5.294
_cell_length_c 11.936
_cell_angle_alpha 90.00
_cell_angle_beta 90.00
_cell_angle_gamma 90.00
_space_group_name_H-M_alt 'I -4 2 d'
_space_group_IT_number 122
_space_group_name_Hall 'I -4 2bw'
loop_
_atom_site_label
_atom_site_type_symbol
_atom_site_fract_x
_atom_site_fract_y
_atom_site_fract_z
Cd1 Cd 0.000 0.000 0.000
Au1 Au 0.116 0.250 0.625
C1 C 0.000 0.000 0.500
```

Summary:
ΔE to the lowest computed polymorph: 0 meV per atom
Density: 10292 kg/m³
Energy of formation from the pure elements: 0.82 eV/atom

No. 4
The following is a DFT calculation (PBE) of an optimized crystal structure of CdAu3C.

```
data_CdAu3C
_cell_length_a 5.206
_cell_length_b 5.206
_cell_length_c 5.206
_cell_angle_alpha 90.00
_cell_angle_beta 90.00
_cell_angle_gamma 90.00
_space_group_name_H-M_alt 'P m -3 m'
_space_group_IT_number 221
_space_group_name_Hall '-P 4 2 3'
loop_
_atom_site_label
_atom_site_type_symbol
_atom_site_fract_x
_atom_site_fract_y
_atom_site_fract_z
Cd1 Cd 0.000 0.000 0.000
Au1 Au 0.000 0.000 0.500
C1 C 0.500 0.500 0.500
```

Summary:
ΔE to the lowest computed polymorph: 1440 meV per atom
Density: 8419 kg/m³
Energy of formation from the pure elements: 2.05 eV/atom